Record 1
Entry from Alexandria: a geometry-optimized Tb2Ni7Ge structure (PBE-GGA).

ΔE_f = -0.303 eV per atom
volume = 15.054 Å³ per atom
DOS(E_F) = 14.1 states/eV per cell
total DFT energy (no corrections) = -57.37 eV/cell

Cell: 3.822 3.822 10.306 Å, 90.00 90.00 90.00°
Element x y z (fractional)
1 Tb 0.500 0.000 0.736
2 Tb 0.000 0.500 0.264
3 Ni 0.000 0.500 0.862
4 Ni 0.500 0.000 0.361
5 Ni 0.500 0.000 0.138
6 Ni 0.000 0.500 0.639
7 Ni 0.000 0.000 0.500
8 Ni 0.000 0.000 0.000
9 Ni 0.500 0.500 0.500
10 Ge 0.500 0.500 0.000

---

Record 2
Entry from Alexandria: a geometry-optimized TbNiGe2 structure (PBE-GGA).

ΔE_f = -0.655 eV per atom
volume = 18.066 Å³ per atom
DOS(E_F) = 1.2 states/eV per cell
total DFT energy (no corrections) = -22.26 eV/cell

Cell: 4.023 4.023 5.654 Å, 69.16 69.16 60.00°
Element x y z (fractional)
1 Ni 0.500 0.500 0.500
2 Ge 0.782 0.782 0.654
3 Ge 0.218 0.218 0.346
4 Tb 0.000 0.000 0.000

---

Record 3
Entry from Alexandria: a geometry-optimized TbNi12Ge4 structure (PBE-GGA).

ΔE_f = 0.113 eV per atom
volume = 14.603 Å³ per atom
DOS(E_F) = 7.2 states/eV per cell
total DFT energy (no corrections) = -90.55 eV/cell

Cell: 6.858 6.858 6.858 Å, 109.47 109.47 109.47°
Element x y z (fractional)
1 Tb 0.000 0.000 0.000
2 Ni 0.847 0.354 0.201
3 Ni 0.354 0.507 0.153
4 Ni 0.799 0.153 0.646
5 Ni 0.354 0.201 0.847
6 Ni 0.201 0.847 0.354
7 Ni 0.646 0.493 0.847
8 Ni 0.507 0.153 0.354
9 Ni 0.493 0.847 0.646
10 Ni 0.646 0.799 0.153
11 Ni 0.847 0.646 0.493
12 Ni 0.153 0.354 0.507
13 Ni 0.153 0.646 0.799
14 Ge 0.000 0.500 0.000
15 Ge 0.500 0.000 0.000
16 Ge 0.500 0.500 0.500
17 Ge 0.000 0.000 0.500

---

Record 4
Entry from Alexandria: a geometry-optimized Tb2Ni5Ge3 structure (PBE-GGA).

ΔE_f = -0.388 eV per atom
volume = 16.179 Å³ per atom
DOS(E_F) = 3.6 states/eV per cell
total DFT energy (no corrections) = -55.90 eV/cell
energy above the most stable polymorph in this dataset = 0.1408 eV/atom

Cell: 3.888 3.888 10.701 Å, 90.00 90.00 90.00°
Element x y z (fractional)
1 Tb 0.500 0.000 0.210
2 Tb 0.000 0.500 0.790
3 Ni 0.500 0.500 0.000
4 Ni 0.000 0.000 0.000
5 Ni 0.500 0.000 0.865
6 Ni 0.000 0.500 0.135
7 Ni 0.500 0.500 0.500
8 Ge 0.500 0.000 0.652
9 Ge 0.000 0.500 0.348
10 Ge 0.000 0.000 0.500